This record from Alexandria describes a crystal of BaY2PdO5 relaxed with PBEsol. The functional is SCAN.

Properties
* symmetry: No. 127
* theoretical density: 6.80 Mg/m³
* formation energy (no corrections): -3001 meV per atom
* energy: -186.18 eV/f.u.

The structure in POSCAR format:
```
BaY2PdO5
1.0
-1.742 -5.556 -0.169
2.200 -0.873 6.038
-5.784 1.741 2.360
Ba Y Pd O
2 4 2 10
Direct
0.000 0.500 0.500
0.000 0.000 0.000
0.500 0.674 0.826
0.500 0.826 0.326
0.500 0.174 0.674
0.500 0.326 0.174
0.000 0.500 0.000
0.000 0.000 0.500
0.500 0.500 0.500
0.500 0.000 0.000
0.741 0.140 0.360
0.741 0.860 0.640
0.741 0.640 0.140
0.741 0.360 0.860
0.259 0.860 0.640
0.259 0.640 0.140
0.259 0.140 0.360
0.259 0.360 0.860
```